[1]
# ReOsOF2

ReOsOF2 after structural relaxation (PBE, Alexandria).

Values from the calculation:
The calculation puts the distance to the lowest polymorph of the same formula at 0.00 eV/f.u. As for the energy relative to the elements, uncorrected: 38 kJ/mol of atoms. Its total energy is -6.080 eV per atom.

The structure in CIF format:
```
data_ReOsOF2
_space_group_name_H-M_alt 'P 4/m m m'
_space_group_IT_number 123
_space_group_name_Hall '-P 4 2'
_cell_length_a 4.3577
_cell_length_b 4.3577
_cell_length_c 3.7490
_cell_angle_alpha 90.00
_cell_angle_beta 90.00
_cell_angle_gamma 90.00
loop_
_atom_site_label
_atom_site_fract_x
_atom_site_fract_y
_atom_site_fract_z
Re1 0.0000 0.0000 0.0000
Os1 0.5000 0.5000 0.5000
O1 0.0000 0.0000 0.5000
F1 0.0000 0.5000 0.0000
```

=====

[2]
# ReOsO2F

ReOsO2F after structural relaxation (PBE, Alexandria).

Values from the calculation:
As for the energy relative to the elements, uncorrected: 31 kJ/mol of atoms. Its total energy is -6.768 eV per atom.

The structure in CIF format:
```
data_ReOsO2F
_space_group_name_H-M_alt 'P 4/m m m'
_space_group_IT_number 123
_space_group_name_Hall '-P 4 2'
_cell_length_a 3.6746
_cell_length_b 3.6746
_cell_length_c 6.7726
_cell_angle_alpha 90.00
_cell_angle_beta 90.00
_cell_angle_gamma 90.00
loop_
_atom_site_label
_atom_site_fract_x
_atom_site_fract_y
_atom_site_fract_z
Re1 0.0000 0.0000 0.0000
Os1 0.5000 0.5000 0.5000
O1 0.0000 0.5000 0.5000
F1 0.5000 0.5000 0.0000
```

=====

[3]
# ReOsOF2

ReOsOF2 after structural relaxation (PBE, Alexandria).

Values from the calculation:
The calculation puts the distance to the lowest polymorph of the same formula at 0.46 eV/f.u. As for the energy relative to the elements, uncorrected: 47 kJ/mol of atoms. Its total energy is -5.989 eV per atom.

The structure in CIF format:
```
data_ReOsOF2
_space_group_name_H-M_alt 'P 4/m m m'
_space_group_IT_number 123
_space_group_name_Hall '-P 4 2'
_cell_length_a 4.5951
_cell_length_b 4.5951
_cell_length_c 3.6537
_cell_angle_alpha 90.00
_cell_angle_beta 90.00
_cell_angle_gamma 90.00
loop_
_atom_site_label
_atom_site_fract_x
_atom_site_fract_y
_atom_site_fract_z
Re1 0.0000 0.0000 0.0000
Os1 0.5000 0.5000 0.5000
O1 0.5000 0.5000 0.0000
F1 0.0000 0.5000 0.5000
```

=====

[4]
# ReOsO2F

ReOsO2F after structural relaxation (PBE, Alexandria).

Values from the calculation:
As for the energy relative to the elements, uncorrected: 26 kJ/mol of atoms. Its total energy is -6.821 eV per atom.

The structure in CIF format:
```
data_ReOsO2F
_space_group_name_H-M_alt 'P 4/m m m'
_space_group_IT_number 123
_space_group_name_Hall '-P 4 2'
_cell_length_a 3.7888
_cell_length_b 3.7888
_cell_length_c 4.7970
_cell_angle_alpha 90.00
_cell_angle_beta 90.00
_cell_angle_gamma 90.00
loop_
_atom_site_label
_atom_site_fract_x
_atom_site_fract_y
_atom_site_fract_z
Re1 0.0000 0.0000 0.0000
Os1 0.5000 0.5000 0.5000
O1 0.0000 0.5000 0.0000
F1 0.0000 0.0000 0.5000
```

=====

[5]
# OsRhOF2

OsRhOF2 after structural relaxation (PBE, Alexandria).

Values from the calculation:
The calculation puts the distance to the lowest polymorph of the same formula at 2.44 eV/f.u. As for the energy relative to the elements, uncorrected: 40 kJ/mol of atoms. Its total energy is -5.046 eV per atom.

The structure in CIF format:
```
data_OsRhOF2
_space_group_name_H-M_alt 'P 4/m m m'
_space_group_IT_number 123
_space_group_name_Hall '-P 4 2'
_cell_length_a 3.7835
_cell_length_b 3.7835
_cell_length_c 5.2736
_cell_angle_alpha 90.00
_cell_angle_beta 90.00
_cell_angle_gamma 90.00
loop_
_atom_site_label
_atom_site_fract_x
_atom_site_fract_y
_atom_site_fract_z
Os1 0.0000 0.0000 0.0000
Rh1 0.0000 0.0000 0.5000
O1 0.5000 0.5000 0.0000
F1 0.0000 0.5000 0.5000
```

=====

[6]
# OsRhO2F

OsRhO2F after structural relaxation (PBE, Alexandria).

Values from the calculation:
As for the energy relative to the elements, uncorrected: 58 kJ/mol of atoms. Its total energy is -5.470 eV per atom.

The structure in CIF format:
```
data_OsRhO2F
_space_group_name_H-M_alt 'P 4/m m m'
_space_group_IT_number 123
_space_group_name_Hall '-P 4 2'
_cell_length_a 3.9868
_cell_length_b 3.9868
_cell_length_c 4.0563
_cell_angle_alpha 90.00
_cell_angle_beta 90.00
_cell_angle_gamma 90.00
loop_
_atom_site_label
_atom_site_fract_x
_atom_site_fract_y
_atom_site_fract_z
Os1 0.0000 0.0000 0.0000
Rh1 0.5000 0.5000 0.5000
O1 0.0000 0.5000 0.5000
F1 0.5000 0.5000 0.0000
```

=====

Among the records above, which one has the lowest energy relative to the elements, uncorrected?
number 4